(1)
First-principles (PBE) data for a relaxed Pr2AgPd5 crystal, as listed in the Alexandria database.

Summary:
**Calculated volume**: 153.5 Å³ per cell
**ΔE_f**: -0.675 eV/atom
**Crystal system**: tetragonal
**VASP energy**: -43.78 eV per cell
**Size of the total moment**: 0.0 μB per formula unit

Geometry as POSCAR:
```
Pr2AgPd5
1.0
-3.049 3.049 4.126
3.049 -3.049 4.126
3.049 3.049 -4.126
Pr Ag Pd
2 1 5
direct
0.000 0.500 0.500 Pr
0.500 0.000 0.500 Pr
0.000 0.000 0.000 Ag
0.000 0.000 0.500 Pd
0.000 0.500 0.000 Pd
0.500 0.000 0.000 Pd
0.500 0.500 0.000 Pd
0.500 0.500 0.500 Pd
```

=====

(2)
First-principles (PBE) data for a relaxed Ta2ZnGePd crystal, as listed in the Alexandria database.

Summary:
**Calculated volume**: 100.1 Å³ per cell
**ΔE_f**: 1.121 eV/atom
**Crystal system**: tetragonal
**VASP energy**: -29.18 eV per cell
**Size of the total moment**: 0.0 μB per formula unit

Geometry as POSCAR:
```
Ta2ZnGePd
1.0
4.715 0.000 0.000
0.000 4.715 0.000
0.000 0.000 4.504
Ta Zn Ge Pd
2 1 1 1
direct
0.000 0.500 0.000 Ta
0.500 0.000 0.000 Ta
0.000 0.000 0.000 Zn
0.500 0.500 0.500 Ge
0.000 0.000 0.500 Pd
```

=====

(3)
First-principles (PBE) data for a relaxed YGaRh2W crystal, as listed in the Alexandria database.

Summary:
**Calculated volume**: 120.7 Å³ per cell
**ΔE_f**: 1.848 eV/atom
**Crystal system**: tetragonal
**VASP energy**: -27.91 eV per cell
**Size of the total moment**: 2.4 μB per formula unit

Geometry as POSCAR:
```
YGaRh2W
1.0
4.839 0.000 0.000
0.000 4.839 0.000
0.000 0.000 5.155
Y Ga Rh W
1 1 2 1
direct
0.000 0.000 0.000 Y
0.500 0.500 0.500 Ga
0.000 0.500 0.000 Rh
0.500 0.000 0.000 Rh
0.000 0.000 0.500 W
```

=====

(4)
First-principles (PBE) data for a relaxed Tm13Pb2 crystal, as listed in the Alexandria database.

Summary:
**Calculated volume**: 444.6 Å³ per cell
**ΔE_f**: -0.101 eV/atom
**Crystal system**: triclinic
**VASP energy**: -67.07 eV per cell
**Size of the total moment**: 0.0 μB per formula unit

Geometry as POSCAR:
```
Tm13Pb2
1.0
6.759 0.000 0.000
0.971 8.273 0.000
1.866 3.316 7.951
Tm Pb
13 2
direct
0.000 0.000 0.000 Tm
0.120 0.481 0.743 Tm
0.191 0.226 0.151 Tm
0.264 0.940 0.582 Tm
0.315 0.659 0.970 Tm
0.377 0.408 0.386 Tm
0.479 0.143 0.796 Tm
0.521 0.857 0.204 Tm
0.623 0.592 0.614 Tm
0.685 0.341 0.030 Tm
0.736 0.060 0.418 Tm
0.809 0.774 0.849 Tm
0.880 0.519 0.257 Tm
0.065 0.771 0.379 Pb
0.935 0.229 0.621 Pb
```

=====

(5)
First-principles (PBE) data for a relaxed Li2MgBiF crystal, as listed in the Alexandria database.

Summary:
**Calculated volume**: 85.3 Å³ per cell
**Uncorrected formation energy**: -1.2941 eV per atom
**Crystal system**: tetragonal
**VASP energy**: -17.65 eV per cell
**Size of the total moment**: 0.0 μB per formula unit

Geometry as POSCAR:
```
Li2MgBiF
1.0
4.329 0.000 0.000
0.000 4.329 0.000
0.000 0.000 4.551
Li Mg Bi F
2 1 1 1
direct
0.000 0.500 0.000 Li
0.500 0.000 0.000 Li
0.000 0.000 0.500 Mg
0.500 0.500 0.500 Bi
0.000 0.000 0.000 F
```

=====

(6)
First-principles (PBE) data for a relaxed CaIn2GeCl6 crystal, as listed in the Alexandria database.

Summary:
**Calculated volume**: 301.5 Å³ per cell
**Uncorrected formation energy**: -1.2652 eV per atom
**Crystal system**: trigonal
**VASP energy**: -35.83 eV per cell
**Size of the total moment**: 0.0 μB per formula unit

Geometry as POSCAR:
```
CaIn2GeCl6
1.0
3.755 2.168 6.173
-3.755 2.168 6.173
0.000 -4.336 6.173
Ca In Ge Cl
1 2 1 6
direct
0.000 0.000 0.000 Ca
0.283 0.283 0.283 In
0.776 0.776 0.776 In
0.501 0.501 0.501 Ge
0.179 0.728 0.323 Cl
0.236 0.670 0.821 Cl
0.323 0.179 0.728 Cl
0.670 0.821 0.236 Cl
0.728 0.323 0.179 Cl
0.821 0.236 0.670 Cl
```

=====

(7)
First-principles (PBE) data for a relaxed AcThTe2 crystal, as listed in the Alexandria database.

Summary:
**Calculated volume**: 123.4 Å³ per cell
**Uncorrected formation energy**: -1.2283 eV per atom
**Crystal system**: tetragonal
**VASP energy**: -22.72 eV per cell
**Size of the total moment**: 0.0 μB per formula unit

Geometry as POSCAR:
```
AcThTe2
1.0
3.937 0.000 0.000
0.000 3.937 0.000
0.000 0.000 7.961
Ac Th Te
1 1 2
direct
0.000 0.000 0.000 Ac
0.000 0.000 0.500 Th
0.500 0.500 0.268 Te
0.500 0.500 0.732 Te
```

=====

(8)
First-principles (PBE) data for a relaxed La2HgW crystal, as listed in the Alexandria database.

Summary:
**Calculated volume**: 97.1 Å³ per cell
**ΔE_f**: 0.505 eV/atom
**Crystal system**: cubic
**VASP energy**: -21.09 eV per cell
**Size of the total moment**: 0.5 μB per formula unit

Geometry as POSCAR:
```
La2HgW
1.0
0.000 3.648 3.648
3.648 0.000 3.648
3.648 3.648 0.000
La Hg W
2 1 1
direct
0.000 0.000 0.000 La
0.250 0.250 0.250 La
0.500 0.500 0.500 Hg
0.750 0.750 0.750 W
```

=====

Which formula does entry 2 have? Ta2ZnGePd

=====

Among the records above, which one has the highest size of the total moment? YGaRh2W

=====

The highest calculated volume belongs to which entry? Tm13Pb2

=====

VASP energy of number 7 (AcThTe2)? -22.72 eV per cell